# 1
RbLiYF6 (GGA-PBE, relaxed); uncorrected formation energy = -3.06 eV/atom; VASP energy = -5.3498 eV per atom
1.0
-3.749 3.803 4.765
3.749 -3.803 4.765
3.749 3.803 -4.765
Rb Li Y F
2 2 2 12
direct
0.331 0.081 0.250
0.669 0.919 0.750
0.000 0.000 0.500
0.000 0.500 0.000
0.000 0.500 0.500
0.500 0.500 0.000
0.084 0.356 0.199
0.084 0.885 0.729
0.098 0.348 0.750
0.344 0.115 0.699
0.344 0.644 0.229
0.375 0.625 0.750
0.625 0.375 0.250
0.656 0.356 0.771
0.656 0.885 0.301
0.902 0.652 0.250
0.916 0.115 0.271
0.916 0.644 0.801

# 2
RbLiYF5 (GGA-PBE, relaxed); uncorrected formation energy = -3.49 eV/atom; VASP energy = -5.8238 eV per atom
1.0
3.765 -5.091 0.000
3.765 5.091 0.000
-3.325 0.000 7.676
Rb Li Y F
2 2 2 10
direct
0.162 0.838 0.750
0.838 0.162 0.250
0.186 0.814 0.250
0.814 0.186 0.750
0.500 0.500 0.000
0.500 0.500 0.500
0.132 0.266 0.900
0.214 0.609 0.390
0.266 0.132 0.400
0.391 0.786 0.110
0.432 0.568 0.750
0.568 0.432 0.250
0.609 0.214 0.890
0.734 0.868 0.600
0.786 0.391 0.610
0.868 0.734 0.100

# 3
Rb2LiYF6 (GGA-PBE, relaxed); uncorrected formation energy = -3.34 eV/atom; VASP energy = -5.4922 eV per atom
1.0
0.000 4.348 4.348
4.348 0.000 4.348
4.348 4.348 0.000
Rb Li Y F
2 1 1 6
direct
0.250 0.250 0.250
0.750 0.750 0.750
0.000 0.000 0.000
0.500 0.500 0.500
0.248 0.248 0.752
0.248 0.752 0.248
0.248 0.752 0.752
0.752 0.248 0.248
0.752 0.248 0.752
0.752 0.752 0.248

# 4
RbLiZn2F8 (GGA-PBE, relaxed); uncorrected formation energy = -2.07 eV/atom; VASP energy = -3.7728 eV per atom
1.0
4.654 0.000 0.000
0.473 4.710 0.000
0.093 0.609 8.413
Rb Li Zn F
1 1 2 8
direct
0.000 0.000 0.000
0.000 0.000 0.500
0.497 0.521 0.321
0.503 0.479 0.679
0.169 0.787 0.318
0.205 0.774 0.695
0.323 0.297 0.492
0.425 0.338 0.886
0.575 0.662 0.114
0.677 0.703 0.508
0.795 0.226 0.305
0.831 0.213 0.682

# 5
Rb3Li2ZnF8 (GGA-PBE, relaxed); uncorrected formation energy = -2.52 eV/atom; VASP energy = -4.1659 eV per atom
1.0
5.888 0.000 0.000
-2.944 5.099 0.000
0.000 0.000 7.737
Rb Li Zn F
3 2 1 8
direct
0.000 0.000 0.000
0.333 0.667 0.671
0.667 0.333 0.329
0.333 0.667 0.254
0.667 0.333 0.746
0.000 0.000 0.500
0.160 0.321 0.345
0.160 0.840 0.345
0.321 0.160 0.655
0.333 0.667 0.020
0.667 0.333 0.980
0.679 0.840 0.345
0.840 0.160 0.655
0.840 0.679 0.655

# 6
Rb2Li2ZnF6 (GGA-PBE, relaxed); uncorrected formation energy = -2.67 eV/atom; VASP energy = -4.3282 eV per atom
1.0
5.164 -2.967 0.000
5.164 2.967 0.000
-2.888 0.000 5.595
Rb Li Zn F
2 2 1 6
direct
0.214 0.214 0.165
0.786 0.786 0.835
0.417 0.417 0.726
0.583 0.583 0.274
0.000 0.000 0.500
0.228 0.743 0.253
0.229 0.229 0.662
0.257 0.772 0.747
0.743 0.228 0.253
0.771 0.771 0.338
0.772 0.257 0.747